# 1
First-principles (PBE) data for a relaxed structure of SrMg8Ga4, as listed in Alexandria via LeMat-Bulk.

Cell: 5.681 7.620 7.620 Å, 82.01 68.11 68.11°
Fractional coordinates of all 13 atoms:
Sr 0.000 0.000 0.000
Mg 0.352 0.648 0.648
Mg 0.648 0.352 0.352
Ga 0.000 0.500 0.000
Ga 0.500 0.500 0.000
Mg 0.500 0.216 0.784
Ga 0.500 0.000 0.500
Mg 0.716 0.784 0.784
Mg 0.000 0.352 0.648
Mg 0.284 0.216 0.216
Mg 0.500 0.784 0.216
Mg 0.000 0.648 0.352
Ga 0.000 0.000 0.500

Values from the calculation:
As for the symmetry: I4/mmm, No. 139. As for the total energy: -28.87 eV/cell. The value obtained for the formation enthalpy at 0 K is -0.18 eV/atom.


# 2
First-principles (PBE) data for a relaxed structure of InSi2Br, as listed in Alexandria via LeMat-Bulk.

Cell: 3.377 3.377 8.985 Å, 90.00 90.00 90.00°
Fractional coordinates of all 4 atoms:
Br 0.000 0.000 0.436
Si 0.000 0.000 0.182
In 0.500 0.500 0.784
Si 0.500 0.500 0.098

Values from the calculation:
As for the symmetry: P4mm, No. 99. As for the total energy: -14.65 eV/cell. As for the uncorrected formation energy: 152 meV per atom. As for the distance to the lowest polymorph of the same formula: 0.136 eV/atom.


# 3
First-principles (PBE) data for a relaxed structure of NiHgSe2, as listed in Alexandria via LeMat-Bulk.

Cell: 4.728 4.728 6.411 Å, 75.87 75.87 43.48°
Fractional coordinates of all 4 atoms:
Hg 0.250 0.250 0.250
Se 0.395 0.395 0.550
Se 0.105 0.105 0.950
Ni 0.750 0.750 0.750

Values from the calculation:
As for the symmetry: C2/m, No. 12. As for the total energy: -13.77 eV/cell. As for the uncorrected formation energy: -178 meV per atom.


# 4
First-principles (PBE) data for a relaxed structure of RbLaTa2, as listed in Alexandria via LeMat-Bulk.

Cell: 4.250 4.250 11.865 Å, 79.68 79.68 90.00°
Fractional coordinates of all 8 atoms:
Ta 0.875 0.897 0.750
La 0.750 0.250 0.500
Ta 0.647 0.125 0.250
La 0.000 0.000 0.000
Ta 0.103 0.625 0.250
Rb 0.500 0.500 0.000
Rb 0.250 0.750 0.500
Ta 0.375 0.353 0.750

Values from the calculation:
As for the symmetry: I-42d, No. 122. As for the total energy: -46.76 eV/cell. As for the distance to the lowest polymorph of the same formula: 0.000 eV/atom. The value obtained for the formation enthalpy at 0 K is 1.56 eV/atom.


# 5
First-principles (PBE) data for a relaxed structure of TmZrInGa, as listed in Alexandria via LeMat-Bulk.

Cell: 5.014 5.014 5.014 Å, 60.00 60.00 60.00°
Fractional coordinates of all 4 atoms:
In 0.750 0.750 0.750
Zr 0.500 0.500 0.500
Tm 0.000 0.000 0.000
Ga 0.250 0.250 0.250

Values from the calculation:
As for the symmetry: F-43m, No. 216. As for the total energy: -20.06 eV/cell. The value obtained for the formation enthalpy at 0 K is -0.32 eV/atom.